[1]
First-principles (meta-GGA SCAN) data for a PBEsol-optimized structure of La2PbI, as listed in Alexandria via LeMat-Bulk.

```
La2PbI
1.0
0.000 3.935 3.935
3.935 0.000 3.935
3.935 3.935 0.000
La Pb I
2 1 1
Cartesian
1.968 1.968 1.968
5.903 5.903 5.903
0.000 0.000 0.000
3.935 3.935 3.935
```

Summary:
As for the space group: Fm-3m (225). The density of states at the Fermi level comes out at 2.62 states/eV per cell. The value obtained for the total moment is 0.000 μB/atom. Its uncorrected formation energy is -0.99 eV per atom.

---

[2]
First-principles (meta-GGA SCAN) data for a PBEsol-optimized structure of BeSb2Te, as listed in Alexandria via LeMat-Bulk.

```
BeSb2Te
1.0
1.999 -2.566 0.000
1.999 2.566 0.000
0.000 0.000 9.047
Be Sb Te
1 2 1
Cartesian
0.000 0.000 0.000
1.999 0.000 1.591
1.999 0.000 7.456
0.000 0.000 4.524
```

Summary:
As for the space group: Cmmm (65). The density of states at the Fermi level comes out at 1.43 states/eV per cell. The value obtained for the total moment is 0.000 μB/atom. Its uncorrected formation energy is 0.32 eV per atom.

---

[3]
First-principles (meta-GGA SCAN) data for a PBEsol-optimized structure of La3Ir, as listed in Alexandria via LeMat-Bulk.

```
La3Ir
1.0
2.001 1.156 9.472
-2.001 1.156 9.472
0.000 -2.311 9.472
La Ir
3 1
Cartesian
0.000 0.000 0.000
0.000 0.000 6.351
0.000 0.000 22.065
0.000 0.000 14.208
```

Summary:
As for the space group: R-3m (166). The density of states at the Fermi level comes out at 3.83 states/eV per cell. The value obtained for the total moment is 0.000 μB/atom. The value obtained for the calculated formation energy is -0.451 eV per atom.

---

[4]
First-principles (meta-GGA SCAN) data for a PBEsol-optimized structure of Cr3P6WO24, as listed in Alexandria via LeMat-Bulk.

```
Cr3P6WO24
1.0
4.176 2.411 7.200
-4.176 2.411 7.200
0.000 -4.822 7.200
Cr P W O
3 6 1 24
Cartesian
0.000 0.000 0.000
0.000 0.000 4.652
0.000 0.000 15.371
-3.070 0.396 9.465
-1.177 -2.095 13.161
1.192 -2.857 9.465
-1.226 2.067 13.161
1.878 2.461 9.465
2.402 0.028 13.161
0.000 0.000 10.724
-0.731 -1.296 5.771
-3.047 1.371 8.288
-3.484 1.037 10.782
-2.687 -1.958 13.331
0.337 -3.324 8.288
-1.549 0.013 9.646
-0.757 1.281 5.771
0.844 -3.536 10.782
-0.829 -1.302 11.844
0.763 -1.348 9.646
1.488 0.015 5.771
-0.348 -1.509 14.300
-1.483 -0.495 16.447
-0.713 1.369 11.844
-1.132 1.056 14.300
0.786 1.335 9.646
1.542 -0.067 11.844
-0.352 3.306 13.331
1.170 -1.036 16.447
2.711 1.954 8.288
1.480 0.453 14.300
3.040 -1.348 13.331
0.312 1.532 16.447
2.640 2.499 10.782
```

Summary:
As for the space group: R3 (146). The density of states at the Fermi level comes out at 10.57 states/eV per cell. The value obtained for the total moment is 0.176 μB/atom. Its uncorrected formation energy is -2.32 eV per atom.

---

[5]
First-principles (meta-GGA SCAN) data for a PBEsol-optimized structure of RbB3Pt, as listed in Alexandria via LeMat-Bulk.

```
RbB3Pt
1.0
4.217 0.000 0.000
0.000 4.217 0.000
0.000 0.000 4.217
Rb B Pt
1 3 1
Cartesian
0.000 0.000 0.000
0.000 2.108 2.108
2.108 0.000 2.108
2.108 2.108 0.000
2.108 2.108 2.108
```

Summary:
As for the space group: Pm-3m (221). The density of states at the Fermi level comes out at 2.52 states/eV per cell. The value obtained for the total moment is 0.000 μB/atom. The value obtained for the calculated formation energy is 1.015 eV per atom.

---

[6]
First-principles (meta-GGA SCAN) data for a PBEsol-optimized structure of LiSb4Rh, as listed in Alexandria via LeMat-Bulk.

```
LiSb4Rh
1.0
0.000 4.242 4.242
4.242 0.000 4.242
4.242 4.242 0.000
Li Sb Rh
1 4 1
Cartesian
0.000 0.000 0.000
5.306 3.179 3.179
3.179 5.306 3.179
3.179 3.179 5.306
5.306 5.306 5.306
2.121 2.121 2.121
```

Summary:
As for the space group: F-43m (216). The density of states at the Fermi level comes out at 5.02 states/eV per cell. The value obtained for the total moment is 0.000 μB/atom. Its uncorrected formation energy is 0.55 eV per atom.

---

[7]
First-principles (meta-GGA SCAN) data for a PBEsol-optimized structure of AlGeBr3, as listed in Alexandria via LeMat-Bulk.

```
AlGeBr3
1.0
5.333 0.000 0.000
0.000 5.333 0.000
0.000 0.000 5.333
Al Ge Br
1 1 3
Cartesian
0.000 0.000 0.000
2.666 2.666 2.666
0.000 2.666 2.666
2.666 0.000 2.666
2.666 2.666 0.000
```

Summary:
As for the space group: Pm-3m (221). The density of states at the Fermi level comes out at 0.05 states/eV per cell. The value obtained for the total moment is 0.000 μB/atom. Its uncorrected formation energy is -0.25 eV per atom.

---

[8]
First-principles (meta-GGA SCAN) data for a PBEsol-optimized structure of BaWF2, as listed in Alexandria via LeMat-Bulk.

```
BaWF2
1.0
1.931 1.115 5.053
-1.931 1.115 5.053
0.000 -2.230 5.053
Ba W F
1 1 2
Cartesian
0.000 0.000 0.000
0.000 0.000 7.580
0.000 0.000 3.072
0.000 0.000 12.088
```

Summary:
As for the space group: R-3m (166). The density of states at the Fermi level comes out at 0.95 states/eV per cell. The value obtained for the total moment is 0.000 μB/atom. Its uncorrected formation energy is -0.83 eV per atom.

---

[9]
First-principles (meta-GGA SCAN) data for a PBEsol-optimized structure of MnFe5, as listed in Alexandria via LeMat-Bulk.

```
MnFe5
1.0
4.383 -1.216 0.000
4.383 1.216 0.000
-1.351 0.000 5.540
Mn Fe
1 5
Cartesian
0.000 0.000 0.000
2.357 0.000 0.305
2.019 0.000 3.689
4.386 0.000 3.998
5.399 0.000 1.843
7.757 0.000 2.152
```

Summary:
As for the space group: Cm (8). The density of states at the Fermi level comes out at 6.55 states/eV per cell. The value obtained for the total moment is 0.000 μB/atom. The value obtained for the calculated formation energy is 0.405 eV per atom.

---

[10]
First-principles (meta-GGA SCAN) data for a PBEsol-optimized structure of Sc2RhI, as listed in Alexandria via LeMat-Bulk.

```
Sc2RhI
1.0
1.679 0.969 9.255
-1.679 0.969 9.255
0.000 -1.939 9.255
Sc Rh I
2 1 1
Cartesian
0.000 0.000 2.307
0.000 0.000 25.458
0.000 0.000 0.000
0.000 0.000 13.882
```

Summary:
As for the space group: R-3m (166). The density of states at the Fermi level comes out at 2.94 states/eV per cell. The value obtained for the total moment is 0.331 μB/atom. Its uncorrected formation energy is 0.07 eV per atom.

---

[11]
First-principles (meta-GGA SCAN) data for a PBEsol-optimized structure of Mg4Pt, as listed in Alexandria via LeMat-Bulk.

```
Mg4Pt
1.0
-3.242 3.242 2.162
3.242 -3.242 2.162
3.242 3.242 -2.162
Mg Pt
4 1
Cartesian
1.888 0.734 0.000
2.508 -1.355 2.162
0.734 4.597 0.000
1.355 2.508 2.162
0.000 0.000 2.162
```

Summary:
As for the space group: I4/m (87). The density of states at the Fermi level comes out at 1.41 states/eV per cell. The value obtained for the total moment is 0.006 μB/atom. The value obtained for the calculated formation energy is -0.492 eV per atom.

---

[12]
First-principles (meta-GGA SCAN) data for a PBEsol-optimized structure of Ti2PdPt2, as listed in Alexandria via LeMat-Bulk.

```
Ti2PdPt2
1.0
7.302 0.000 0.000
0.000 7.302 0.000
0.000 0.000 2.922
Ti Pd Pt
4 2 4
Cartesian
1.224 2.427 0.000
2.427 6.078 0.000
4.875 1.224 0.000
6.078 4.875 0.000
0.000 0.000 1.461
3.651 3.651 1.461
0.974 4.625 1.461
2.677 0.974 1.461
4.625 6.328 1.461
6.328 2.677 1.461
```

Summary:
As for the space group: P4/mbm (127). The density of states at the Fermi level comes out at 4.32 states/eV per cell. The value obtained for the total moment is 0.000 μB/atom. The value obtained for the calculated formation energy is -0.977 eV per atom.